This record from Alexandria via LeMat-Bulk describes an optimized crystal structure of CsLi2NbPb. The functional is PBEsol.

Lattice parameters (Å, degrees): 5.4425 5.4425 5.6286 90.00 90.00 90.00
Site moments in Bohr magnetons follow the coordinates.
Fractional coordinates of all 5 atoms:
Pb 0.0000 0.0000 0.0000  -0.06
Li 0.5000 0.0000 0.0000  0.00
Cs 0.5000 0.5000 0.5000  0.07
Li 0.0000 0.5000 0.0000  0.00
Nb 0.0000 0.0000 0.5000  2.58

**Space group**: P4/mmm
**Magnetization**: 0.765 μB per atom
**ΔE_f**: 0.6086 eV per atom